# Li4SmAu8

Crystalline Li4SmAu8 at its relaxed geometry (PBE-GGA, the Alexandria database).

POSCAR file:
```
Li4SmAu8
1.0
-4.617 4.617 2.660
4.617 -4.617 2.660
4.617 4.617 -2.660
Li Sm Au
4 1 8
Direct
0.000 0.000 0.500
0.000 0.500 0.000
0.500 0.000 0.000
0.500 0.500 0.500
0.000 0.000 0.000
0.000 0.337 0.337
0.000 0.663 0.663
0.279 0.500 0.779
0.337 0.000 0.337
0.500 0.279 0.779
0.500 0.721 0.221
0.663 0.000 0.663
0.721 0.500 0.221
```

Summary:
calculated volume = 17.4 Å³ per atom
M_tot = 0.00 μB/cell
uncorrected energy = -45.342 eV/cell
D(E_F) = 3.18 states/eV/cell
formation energy from the elements = -0.519 eV per atom